No. 1
VASP calculation (GGA-PBE) on a relaxed Tc3AgAs crystal.

POSCAR file:
```
Tc3AgAs
1.0
4.545 0.000 0.000
0.000 4.545 0.000
0.000 0.000 4.545
Tc Ag As
3 1 1
Cartesian
0.000 0.000 2.273
0.000 2.273 0.000
2.273 0.000 0.000
2.273 2.273 2.273
0.000 0.000 0.000
```

Output
- density of states at the Fermi level (states/eV/atom) = 0.90
- energy of formation (eV/atom) = 1.184
- size of the total moment (μB per atom) = 0.000
- ρ (g/cm3) = 8.4
- symmetry = No. 221
- volume (Å³/cell) = 93.9

No. 2
VASP calculation (GGA-PBE) on a relaxed TcAgAs2 crystal.

POSCAR file:
```
TcAgAs2
1.0
-1.914 1.914 4.601
1.914 -1.914 4.601
1.914 1.914 -4.601
Tc Ag As
1 1 2
Cartesian
0.000 0.000 0.000
1.914 0.000 2.301
0.000 0.000 4.601
0.000 1.914 2.301
```

Output
- density of states at the Fermi level (states/eV/atom) = 0.80
- energy of formation (eV/atom) = 0.405
- size of the total moment (μB per atom) = 0.211
- ρ (g/cm3) = 8.8
- symmetry = No. 119
- volume (Å³/cell) = 67.4

No. 3
VASP calculation (GGA-PBE) on a relaxed TcAgAs2 crystal.

POSCAR file:
```
TcAgAs2
1.0
1.576 0.910 8.151
-1.576 0.910 8.151
0.000 -1.820 8.151
Tc Ag As
1 1 2
Cartesian
0.000 0.000 0.000
0.000 0.000 12.226
0.000 0.000 6.376
0.000 0.000 18.076
```

Output
- density of states at the Fermi level (states/eV/atom) = 0.71
- energy of formation (eV/atom) = 0.004
- size of the total moment (μB per atom) = 0.000
- ρ (g/cm3) = 8.4
- symmetry = No. 166
- volume (Å³/cell) = 70.2

No. 4
VASP calculation (GGA-PBE) on a relaxed Tc2AgAs crystal.

POSCAR file:
```
Tc2AgAs
1.0
4.264 0.000 0.000
0.000 1.462 5.102
0.000 -1.462 5.102
Tc Ag As
2 1 1
Cartesian
0.000 0.000 0.000
2.132 0.000 4.064
2.132 0.000 6.692
0.000 0.000 2.858
```

Output
- density of states at the Fermi level (states/eV/atom) = 0.61
- energy of formation (eV/atom) = 0.317
- size of the total moment (μB per atom) = 0.000
- ρ (g/cm3) = 9.9
- symmetry = No. 38
- volume (Å³/cell) = 63.6

No. 5
VASP calculation (GGA-PBE) on a relaxed TcAgTeAs2 crystal.

POSCAR file:
```
TcAgTeAs2
1.0
4.684 0.000 0.000
0.000 4.684 0.000
0.000 0.000 5.492
Tc Ag Te As
1 1 1 2
Cartesian
0.000 0.000 0.000
0.000 0.000 2.746
2.342 2.342 2.746
0.000 2.342 0.000
2.342 0.000 0.000
```

Output
- energy relative to the elements, uncorrected (eV/atom) = 0.474
- density of states at the Fermi level (states/eV/atom) = 0.44
- size of the total moment (μB per atom) = 0.000
- ρ (g/cm3) = 6.7
- symmetry = No. 123
- volume (Å³/cell) = 120.5

No. 6
VASP calculation (GGA-PBE) on a relaxed AgTeAs2 crystal.

POSCAR file:
```
AgTeAs2
1.0
-3.034 3.034 6.458
3.034 -3.034 6.458
3.034 3.034 -6.458
Ag Te As
2 2 4
Cartesian
0.000 0.000 0.000
0.000 3.034 3.229
3.034 0.000 3.229
0.000 0.000 6.458
4.550 1.341 -1.614
1.341 1.517 1.614
-1.517 1.693 4.843
1.693 1.517 8.072
```

Output
- energy relative to the elements, uncorrected (eV/atom) = 0.337
- density of states at the Fermi level (states/eV/atom) = 1.05
- size of the total moment (μB per atom) = 0.000
- ρ (g/cm3) = 5.4
- symmetry = No. 122
- volume (Å³/cell) = 237.7

No. 7
VASP calculation (GGA-PBE) on a relaxed AgTe3As crystal.

POSCAR file:
```
AgTe3As
1.0
5.359 0.000 0.000
0.000 5.359 0.000
0.000 0.000 5.359
Ag Te As
1 3 1
Cartesian
0.000 0.000 0.000
0.000 0.000 2.679
0.000 2.679 0.000
2.679 0.000 0.000
2.679 2.679 2.679
```

Output
- energy relative to the elements, uncorrected (eV/atom) = 0.786
- density of states at the Fermi level (states/eV/atom) = 1.25
- size of the total moment (μB per atom) = 0.000
- ρ (g/cm3) = 6.1
- symmetry = No. 221
- volume (Å³/cell) = 153.9

No. 8
VASP calculation (GGA-PBE) on a relaxed Ag2Te4As crystal.

POSCAR file:
```
Ag2Te4As
1.0
-4.155 4.339 5.845
4.155 -4.339 5.845
4.155 4.339 -5.845
Ag Te As
4 8 2
Cartesian
0.000 0.000 0.000
4.155 2.169 1.494
0.000 4.339 0.000
0.000 2.169 4.351
4.155 4.201 -3.002
4.155 -0.138 3.002
1.897 2.169 -0.043
2.258 -2.169 5.802
1.897 6.508 0.043
2.258 2.169 5.888
0.000 4.477 2.843
0.000 0.138 8.847
2.077 2.169 -2.923
2.077 -2.169 2.923
```

Output
- energy relative to the elements, uncorrected (eV/atom) = 0.086
- density of states at the Fermi level (states/eV/atom) = 0.89
- size of the total moment (μB per atom) = 0.000
- ρ (g/cm3) = 6.3
- symmetry = No. 74
- volume (Å³/cell) = 421.5

No. 9
VASP calculation (GGA-PBE) on a relaxed Ag5Te6As crystal.

POSCAR file:
```
Ag5Te6As
1.0
3.640 -6.207 0.000
3.640 6.207 0.000
-2.497 0.000 6.777
Ag Te As
5 6 1
Cartesian
0.000 0.000 0.000
2.391 4.072 3.388
3.640 1.974 0.000
3.640 -1.974 0.000
2.391 -4.072 3.388
1.343 2.050 1.617
-0.102 0.000 4.913
1.343 -2.050 1.617
3.439 2.050 5.160
4.885 0.000 1.864
3.439 -2.050 5.160
2.391 0.000 3.388
```

Output
- energy relative to the elements, uncorrected (eV/atom) = -0.008
- density of states at the Fermi level (states/eV/atom) = 0.45
- size of the total moment (μB per atom) = 0.000
- ρ (g/cm3) = 7.5
- symmetry = No. 12
- volume (Å³/cell) = 306.2

No. 10
VASP calculation (GGA-PBE) on a relaxed AgTe2As2 crystal.

POSCAR file:
```
AgTe2As2
1.0
8.029 0.000 0.000
0.000 8.029 0.000
0.000 0.000 4.008
Ag Te As
2 4 4
Cartesian
0.000 0.000 0.000
4.015 4.015 0.000
1.225 2.789 2.004
2.789 6.804 2.004
5.240 1.225 2.004
6.804 5.240 2.004
1.505 5.520 0.000
2.510 1.505 0.000
5.520 6.524 0.000
6.524 2.510 0.000
```

Output
- energy relative to the elements, uncorrected (eV/atom) = 0.250
- density of states at the Fermi level (states/eV/atom) = 0.27
- size of the total moment (μB per atom) = 0.000
- ρ (g/cm3) = 6.6
- symmetry = No. 127
- volume (Å³/cell) = 258.4

No. 11
VASP calculation (GGA-PBE) on a relaxed AgTeAs crystal.

POSCAR file:
```
AgTeAs
1.0
4.220 0.000 0.000
-0.004 6.227 0.000
-2.096 -0.395 6.114
Ag Te As
2 2 2
Cartesian
-0.014 1.586 0.137
2.135 4.246 5.977
0.001 0.445 4.556
2.119 5.387 1.558
0.004 2.283 2.664
2.117 3.549 3.450
```

Output
- energy relative to the elements, uncorrected (eV/atom) = 0.059
- density of states at the Fermi level (states/eV/atom) = 0.19
- size of the total moment (μB per atom) = 0.000
- ρ (g/cm3) = 6.4
- symmetry = No. 2
- volume (Å³/cell) = 160.7

No. 12
VASP calculation (GGA-PBE) on a relaxed AgTeAs2 crystal.

POSCAR file:
```
AgTeAs2
1.0
-1.720 1.986 6.994
1.720 -1.986 6.994
1.720 1.986 -6.994
Ag Te As
1 1 2
Cartesian
0.000 0.000 0.000
1.720 0.000 4.854
0.000 0.000 8.161
0.000 1.986 2.945
```

Output
- energy relative to the elements, uncorrected (eV/atom) = 0.216
- density of states at the Fermi level (states/eV/atom) = 0.52
- size of the total moment (μB per atom) = 0.000
- ρ (g/cm3) = 6.7
- symmetry = No. 44
- volume (Å³/cell) = 95.5

No. 13
VASP calculation (GGA-PBE) on a relaxed AgTeAs2 crystal.

POSCAR file:
```
AgTeAs2
1.0
2.978 0.000 0.000
0.000 4.007 0.000
0.000 0.000 7.569
Ag Te As
1 1 2
Cartesian
0.000 0.000 0.000
1.489 0.000 3.784
1.489 2.003 1.510
1.489 2.003 6.059
```

Output
- energy relative to the elements, uncorrected (eV/atom) = 0.201
- density of states at the Fermi level (states/eV/atom) = 0.37
- size of the total moment (μB per atom) = 0.000
- ρ (g/cm3) = 7.1
- symmetry = No. 47
- volume (Å³/cell) = 90.3

No. 14
VASP calculation (GGA-PBE) on a relaxed AgTe8As4 crystal.

POSCAR file:
```
AgTe8As4
1.0
3.930 2.269 7.176
-3.930 2.269 7.176
0.000 -4.538 7.176
Ag Te As
1 8 4
Cartesian
0.000 0.000 0.000
0.000 0.000 5.371
0.000 -2.247 8.987
-1.946 1.124 8.987
-1.946 -1.124 12.542
1.946 1.124 8.987
1.946 -1.124 12.542
0.000 2.247 12.542
0.000 0.000 16.158
-3.930 0.000 10.764
-1.965 1.134 3.588
1.965 1.134 3.588
0.000 0.000 10.764
```

Output
- energy relative to the elements, uncorrected (eV/atom) = 0.048
- density of states at the Fermi level (states/eV/atom) = 0.56
- size of the total moment (μB per atom) = 0.000
- ρ (g/cm3) = 6.2
- symmetry = No. 166
- volume (Å³/cell) = 383.9

No. 15
VASP calculation (GGA-PBE) on a relaxed AgTeAs2 crystal.

POSCAR file:
```
AgTeAs2
1.0
3.084 -3.941 0.000
3.084 3.941 0.000
0.000 0.000 3.587
Ag Te As
1 1 2
Cartesian
0.000 0.000 0.000
3.084 0.000 0.000
1.542 1.971 1.794
1.542 -1.971 1.794
```

Output
- energy relative to the elements, uncorrected (eV/atom) = 0.418
- density of states at the Fermi level (states/eV/atom) = 0.46
- size of the total moment (μB per atom) = 0.000
- ρ (g/cm3) = 7.3
- symmetry = No. 65
- volume (Å³/cell) = 87.2

No. 16
VASP calculation (GGA-PBE) on a relaxed Ag3TeAs crystal.

POSCAR file:
```
Ag3TeAs
1.0
5.323 0.000 0.000
0.000 5.323 0.000
0.000 0.000 5.323
Ag Te As
3 1 1
Cartesian
0.000 0.000 2.661
0.000 2.661 0.000
2.661 0.000 0.000
0.000 0.000 0.000
2.661 2.661 2.661
```

Output
- energy relative to the elements, uncorrected (eV/atom) = 0.691
- density of states at the Fermi level (states/eV/atom) = 0.38
- size of the total moment (μB per atom) = 0.400
- ρ (g/cm3) = 5.8
- symmetry = No. 221
- volume (Å³/cell) = 150.8

No. 17
VASP calculation (GGA-PBE) on a relaxed AgTeAs crystal.

POSCAR file:
```
AgTeAs
1.0
3.978 0.000 0.000
-1.989 3.445 0.000
0.000 0.000 5.151
Ag Te As
1 1 1
Cartesian
0.000 0.000 0.000
1.989 1.148 3.335
0.000 2.297 1.504
```

Output
- energy relative to the elements, uncorrected (eV/atom) = 0.145
- density of states at the Fermi level (states/eV/atom) = 0.37
- size of the total moment (μB per atom) = 0.000
- ρ (g/cm3) = 7.3
- symmetry = No. 156
- volume (Å³/cell) = 70.6

No. 18
VASP calculation (GGA-PBE) on a relaxed AgTeAs crystal.

POSCAR file:
```
AgTeAs
1.0
-1.508 1.508 8.329
1.508 -1.508 8.329
1.508 1.508 -8.329
Ag Te As
1 1 1
Cartesian
0.000 0.000 0.000
0.000 0.000 11.303
0.000 0.000 6.502
```

Output
- energy relative to the elements, uncorrected (eV/atom) = 0.283
- density of states at the Fermi level (states/eV/atom) = 0.62
- size of the total moment (μB per atom) = 0.000
- ρ (g/cm3) = 6.8
- symmetry = No. 107
- volume (Å³/cell) = 75.7

No. 19
VASP calculation (GGA-PBE) on a relaxed AgTeAs crystal.

POSCAR file:
```
AgTeAs
1.0
-1.542 2.224 6.102
1.542 -2.224 6.102
1.542 2.224 -6.102
Ag Te As
1 1 1
Cartesian
0.000 0.000 0.000
0.000 0.000 3.069
0.000 0.000 5.702
```

Output
- energy relative to the elements, uncorrected (eV/atom) = 0.148
- density of states at the Fermi level (states/eV/atom) = 0.36
- size of the total moment (μB per atom) = 0.000
- ρ (g/cm3) = 6.2
- symmetry = No. 44
- volume (Å³/cell) = 83.7

No. 20
VASP calculation (GGA-PBE) on a relaxed AgTe3As crystal.

POSCAR file:
```
AgTe3As
1.0
5.438 0.000 0.000
0.000 5.438 0.000
0.000 0.000 5.438
Ag Te As
1 3 1
Cartesian
0.000 0.000 0.000
0.000 2.719 2.719
2.719 0.000 2.719
2.719 2.719 0.000
2.719 2.719 2.719
```

Output
- energy relative to the elements, uncorrected (eV/atom) = 0.565
- density of states at the Fermi level (states/eV/atom) = 0.76
- size of the total moment (μB per atom) = 0.000
- ρ (g/cm3) = 5.8
- symmetry = No. 221
- volume (Å³/cell) = 160.8

No. 21
VASP calculation (GGA-PBE) on a relaxed AgTeAs2 crystal.

POSCAR file:
```
AgTeAs2
1.0
2.912 0.000 0.000
0.000 2.912 0.000
0.000 0.000 11.656
Ag Te As
1 1 2
Cartesian
0.000 0.000 0.000
0.000 0.000 5.828
1.456 1.456 2.105
1.456 1.456 9.550
```

Output
- energy relative to the elements, uncorrected (eV/atom) = 0.304
- density of states at the Fermi level (states/eV/atom) = 0.53
- size of the total moment (μB per atom) = 0.000
- ρ (g/cm3) = 6.5
- symmetry = No. 123
- volume (Å³/cell) = 98.8

No. 22
VASP calculation (GGA-PBE) on a relaxed AgTeAs2 crystal.

POSCAR file:
```
AgTeAs2
1.0
3.811 0.000 0.000
0.000 3.811 0.000
0.000 0.000 6.160
Ag Te As
1 1 2
Cartesian
0.000 0.000 0.000
0.000 0.000 3.080
1.905 1.905 1.240
1.905 1.905 4.920
```

Output
- energy relative to the elements, uncorrected (eV/atom) = 0.346
- density of states at the Fermi level (states/eV/atom) = 0.78
- size of the total moment (μB per atom) = 0.000
- ρ (g/cm3) = 7.2
- symmetry = No. 123
- volume (Å³/cell) = 89.5

No. 23
VASP calculation (GGA-PBE) on a relaxed AgTeAs2 crystal.

POSCAR file:
```
AgTeAs2
1.0
1.837 -2.612 0.000
1.837 2.612 0.000
0.000 0.000 9.527
Ag Te As
1 1 2
Cartesian
0.000 0.000 0.000
1.837 0.000 2.343
0.000 0.000 5.445
1.837 0.000 7.276
```

Output
- energy relative to the elements, uncorrected (eV/atom) = 0.327
- density of states at the Fermi level (states/eV/atom) = 0.50
- size of the total moment (μB per atom) = 0.000
- ρ (g/cm3) = 7.0
- symmetry = No. 35
- volume (Å³/cell) = 91.4

No. 24
VASP calculation (GGA-PBE) on a relaxed Ag3Te8As4 crystal.

POSCAR file:
```
Ag3Te8As4
1.0
5.869 -5.873 0.000
5.869 5.873 0.000
-5.844 0.000 5.871
Ag Te As
3 8 4
Cartesian
0.000 0.000 0.000
2.935 2.936 0.000
2.935 -2.936 0.000
5.869 2.914 0.000
2.947 2.918 2.935
2.945 0.000 0.021
0.030 0.000 2.947
5.864 0.000 2.924
2.949 0.000 5.850
5.869 -2.914 0.000
2.947 -2.918 2.935
0.012 2.936 2.935
0.012 -2.936 2.935
5.869 0.000 0.000
2.947 0.000 2.935
```

Output
- energy relative to the elements, uncorrected (eV/atom) = 0.010
- density of states at the Fermi level (states/eV/atom) = 0.35
- size of the total moment (μB per atom) = 0.000
- ρ (g/cm3) = 6.7
- symmetry = No. 12
- volume (Å³/cell) = 404.7

No. 25
VASP calculation (GGA-PBE) on a relaxed AgTeAs4 crystal.

POSCAR file:
```
AgTeAs4
1.0
0.000 4.084 4.084
4.084 0.000 4.084
4.084 4.084 0.000
Ag Te As
1 1 4
Cartesian
0.000 0.000 0.000
2.042 2.042 2.042
5.197 2.972 2.972
2.972 5.197 2.972
2.972 2.972 5.197
5.197 5.197 5.197
```

Output
- energy relative to the elements, uncorrected (eV/atom) = 0.470
- density of states at the Fermi level (states/eV/atom) = 0.28
- size of the total moment (μB per atom) = 0.000
- ρ (g/cm3) = 6.5
- symmetry = No. 216
- volume (Å³/cell) = 136.2

No. 26
VASP calculation (GGA-PBE) on a relaxed AgTeAs2 crystal.

POSCAR file:
```
AgTeAs2
1.0
1.556 0.898 10.848
-1.556 0.898 10.848
0.000 -1.796 10.848
Ag Te As
1 1 2
Cartesian
0.000 0.000 0.000
0.000 0.000 16.271
0.000 0.000 8.685
0.000 0.000 23.858
```

Output
- energy relative to the elements, uncorrected (eV/atom) = 0.399
- density of states at the Fermi level (states/eV/atom) = 0.64
- size of the total moment (μB per atom) = 0.000
- ρ (g/cm3) = 7.0
- symmetry = No. 166
- volume (Å³/cell) = 90.9

No. 27
VASP calculation (GGA-PBE) on a relaxed AgTeAs2 crystal.

POSCAR file:
```
AgTeAs2
1.0
1.804 1.042 8.921
-1.804 1.042 8.921
0.000 -2.084 8.921
Ag Te As
1 1 2
Cartesian
0.000 0.000 0.000
0.000 0.000 6.917
0.000 0.000 12.518
0.000 0.000 20.006
```

Output
- energy relative to the elements, uncorrected (eV/atom) = 0.139
- density of states at the Fermi level (states/eV/atom) = 0.73
- size of the total moment (μB per atom) = 0.000
- ρ (g/cm3) = 6.4
- symmetry = No. 160
- volume (Å³/cell) = 100.6